(1)
Entry from the Alexandria database: a relaxed structure of LaPm2Pr2Sm (GGA-PBE).

a = 6.795 Å, b = 18.274 Å, c = 3.473 Å
α = 90.00°, β = 90.00°, γ = 90.00°
Positions (direct):
La: 0.000 0.000 0.000
La: 0.500 0.500 0.500
Pm: 0.220 0.351 0.500
Pm: 0.280 0.851 0.000
Pm: 0.720 0.149 0.000
Pm: 0.780 0.649 0.500
Pr: 0.226 0.183 0.000
Pr: 0.274 0.683 0.500
Pr: 0.726 0.317 0.500
Pr: 0.774 0.817 0.000
Sm: 0.000 0.500 0.000
Sm: 0.500 0.000 0.500

Output
total energy	-4.551	eV per atom
SG	Pnnm, No. 58


(2)
Entry from the Alexandria database: a relaxed structure of LaPm2Pr4Sm2 (GGA-PBE).

a = 8.239 Å, b = 8.239 Å, c = 8.234 Å
α = 107.49°, β = 107.49°, γ = 36.96°
Positions (direct):
La: 0.000 0.000 0.000
Pm: 0.111 0.111 0.667
Pm: 0.889 0.889 0.333
Pr: 0.222 0.222 0.332
Pr: 0.445 0.445 0.667
Pr: 0.555 0.555 0.333
Pr: 0.778 0.778 0.668
Sm: 0.332 0.332 0.001
Sm: 0.668 0.668 0.999

Output
total energy	-4.763	eV per atom
SG	C2/m, No. 12


(3)
Entry from the Alexandria database: a relaxed structure of LaPmPr2Sm2 (GGA-PBE).

a = 6.766 Å, b = 18.350 Å, c = 3.470 Å
α = 90.00°, β = 90.00°, γ = 90.00°
Positions (direct):
La: 0.000 0.000 0.000
La: 0.500 0.500 0.500
Pm: 0.000 0.500 0.000
Pm: 0.500 0.000 0.500
Pr: 0.223 0.185 0.000
Pr: 0.277 0.685 0.500
Pr: 0.723 0.315 0.500
Pr: 0.777 0.815 0.000
Sm: 0.218 0.352 0.500
Sm: 0.282 0.852 0.000
Sm: 0.718 0.148 0.000
Sm: 0.782 0.648 0.500

Output
total energy	-4.543	eV per atom
SG	Pnnm, No. 58


(4)
Entry from the Alexandria database: a relaxed structure of La2PmPrSm2 (GGA-PBE).

a = 6.747 Å, b = 18.432 Å, c = 3.489 Å
α = 90.00°, β = 90.00°, γ = 90.00°
Positions (direct):
La: 0.220 0.187 0.000
La: 0.280 0.687 0.500
La: 0.720 0.313 0.500
La: 0.780 0.813 0.000
Pm: 0.000 0.500 0.000
Pm: 0.500 0.000 0.500
Pr: 0.000 0.000 0.000
Pr: 0.500 0.500 0.500
Sm: 0.216 0.353 0.500
Sm: 0.284 0.853 0.000
Sm: 0.716 0.147 0.000
Sm: 0.784 0.647 0.500

Output
total energy	-4.574	eV per atom
SG	Pnnm, No. 58


(5)
Entry from the Alexandria database: a relaxed structure of LaPmPr2Sm (GGA-PBE).

a = 8.468 Å, b = 6.779 Å, c = 6.378 Å
α = 90.00°, β = 93.76°, γ = 90.00°
Positions (direct):
La: 0.000 0.000 0.000
La: 0.000 0.000 0.500
Pm: 0.000 0.426 0.250
Pm: 0.000 0.574 0.750
Pr: 0.307 0.311 0.726
Pr: 0.307 0.689 0.226
Pr: 0.693 0.311 0.774
Pr: 0.693 0.689 0.274
Sm: 0.500 0.162 0.250
Sm: 0.500 0.838 0.750

Output
total energy	-4.546	eV per atom
SG	P2/c, No. 13


(6)
Entry from the Alexandria database: a relaxed structure of La3PmPr2Sm6 (GGA-PBE).

a = 6.383 Å, b = 6.383 Å, c = 12.121 Å
α = 95.05°, β = 95.05°, γ = 120.06°
Positions (direct):
La: 0.000 0.000 0.000
La: 0.333 0.667 0.000
La: 0.667 0.333 0.000
Pm: 0.500 0.500 0.500
Pr: 0.167 0.833 0.500
Pr: 0.833 0.167 0.500
Sm: 0.084 0.417 0.252
Sm: 0.250 0.250 0.749
Sm: 0.417 0.084 0.252
Sm: 0.583 0.916 0.748
Sm: 0.750 0.750 0.251
Sm: 0.916 0.583 0.748

Output
total energy	-4.771	eV per atom
SG	C2/m, No. 12


> What is the total energy in the fifth record?

-4.546 eV per atom